Entry 1:
# KOsPbO2 (PBE, optimized geometry)
data_KOsPbO2
_symmetry_space_group_name_H-M 'P 4/m m m'
_symmetry_Int_Tables_number 123
_symmetry_space_group_name_Hall '-P 4 2'
_cell_length_a 4.375
_cell_length_b 4.375
_cell_length_c 6.987
_cell_angle_alpha 90.00
_cell_angle_beta 90.00
_cell_angle_gamma 90.00
loop_
_atom_site_label
_atom_site_type_symbol
_atom_site_fract_x
_atom_site_fract_y
_atom_site_fract_z
K1 K 0.000 0.000 0.000
Os1 Os 0.500 0.500 0.000
Pb1 Pb 0.000 0.000 0.500
O1 O 0.000 0.500 0.500
# raw total energy	-4.01	eV/atom
# mass density	5.82	g cm⁻³
# magnetization	3.6	μB per cell
# raw formation energy	5.90	eV per formula unit

=====

Entry 2:
# K2OsPb2O6 (PBE, optimized geometry)
data_K2OsPb2O6
_symmetry_space_group_name_H-M 'C 1 2/m 1'
_symmetry_Int_Tables_number 12
_cell_length_a 6.703
_cell_length_b 10.896
_cell_length_c 5.874
_cell_angle_alpha 90.00
_cell_angle_beta 103.87
_cell_angle_gamma 90.00
loop_
_symmetry_equiv_pos_as_xyz
'x,y,z'
'-x,-y,-z'
'-x,y,-z'
'x,-y,z'
'x+1/2,y+1/2,z'
'-x+1/2,-y+1/2,-z'
'-x+1/2,y+1/2,-z'
'x+1/2,-y+1/2,z'
loop_
_atom_site_label
_atom_site_type_symbol
_atom_site_fract_x
_atom_site_fract_y
_atom_site_fract_z
K1 K 0.000 0.152 0.000
Os1 Os 0.000 0.500 0.000
Pb1 Pb 0.000 0.342 0.500
O1 O 0.164 0.500 0.743
O2 O 0.168 0.375 0.181
# raw total energy	-5.80	eV/atom
# mass density	6.21	g cm⁻³
# magnetization	4.0	μB per cell
# raw formation energy	-13.25	eV per formula unit

=====

Entry 3:
# K4Os3PbO12 (PBE, optimized geometry)
data_K4Os3PbO12
_symmetry_space_group_name_H-M 'I m -3 m'
_symmetry_Int_Tables_number 229
_symmetry_space_group_name_Hall '-I 4 2 3'
_cell_length_a 8.142
_cell_length_b 8.142
_cell_length_c 8.142
_cell_angle_alpha 90.00
_cell_angle_beta 90.00
_cell_angle_gamma 90.00
loop_
_atom_site_label
_atom_site_type_symbol
_atom_site_fract_x
_atom_site_fract_y
_atom_site_fract_z
K1 K 0.250 0.250 0.250
Os1 Os 0.000 0.000 0.500
Pb1 Pb 0.000 0.000 0.000
O1 O 0.000 0.000 0.271
O2 O 0.000 0.250 0.500
# raw total energy	-6.19	eV/atom
# mass density	6.93	g cm⁻³
# magnetization	0.0	μB per cell
# raw formation energy	-22.57	eV per formula unit

=====

Entry 4:
# K2Os3PbO12 (PBE, optimized geometry)
data_K2Os3PbO12
_symmetry_space_group_name_H-M 'R -3 m'
_symmetry_Int_Tables_number 166
_symmetry_space_group_name_Hall '-R 3 2"'
_cell_length_a 7.3957
_cell_length_b 7.3957
_cell_length_c 16.7010
_cell_angle_alpha 90.00
_cell_angle_beta 90.00
_cell_angle_gamma 120.00
loop_
_atom_site_label
_atom_site_type_symbol
_atom_site_fract_x
_atom_site_fract_y
_atom_site_fract_z
K1 K 0.0000 0.0000 0.1037
Os1 Os 0.0000 0.5000 0.0000
Pb1 Pb 0.0000 0.0000 0.5000
O1 O 0.0647 0.5323 0.8953
O2 O 0.0783 0.5391 0.3105
# raw total energy	-6.65	eV/atom
# mass density	6.60	g cm⁻³
# magnetization	0.0	μB per cell
# raw formation energy	-20.59	eV per formula unit